Density functional theory data (PBE-GGA) for an optimized crystal structure of Y2PbCl.

Cell lengths 3.5433, 3.5433, 9.4404 Å; angles 90.00, 90.00, 90.00 degrees
With the nearest neighbours (Å) after each atom.
Fractional positions:
Y: 0.0000 0.0000 0.0000  4 Pb 3.42, 8 Y 3.54-3.69
Y: 0.5000 0.5000 0.2876  4 Cl 2.82
Pb: 0.5000 0.5000 0.7531  4 Y 3.42, 4 Pb 3.54
Cl: 0.0000 0.0000 0.4258  4 Y 2.82

Output
ΔE_f (raw) ... -2.9 eV/f.u.
E ... -21.34 eV/cell
Spin magnetization ... 0.0 μB/cell
Excess energy over the best structure of this formula in the dataset ... 251.6 meV/atom



Density functional theory data (PBE-GGA) for an optimized crystal structure of Y2PbCl.

Cell lengths 3.5451, 3.5451, 28.6913 Å; angles 90.00, 90.00, 120.00 degrees
With the nearest neighbours (Å) after each atom.
Fractional positions:
Y: 0.0000 0.0000 0.2407  3 Cl 2.95
Y: 0.0000 0.0000 0.7593  3 Cl 2.95
Y: 0.3333 0.6667 0.4259  3 Cl 2.95
Y: 0.3333 0.6667 0.9074  3 Cl 2.95
Y: 0.6667 0.3333 0.0926  3 Cl 2.95
Y: 0.6667 0.3333 0.5741  3 Cl 2.95
Pb: 0.0000 0.0000 0.0000  6 Y 3.35, 6 Pb 3.55
Pb: 0.3333 0.6667 0.6667  6 Y 3.35, 6 Pb 3.55
Pb: 0.6667 0.3333 0.3333  6 Y 3.35, 6 Pb 3.55
Cl: 0.0000 0.0000 0.5000  6 Y 2.95
Cl: 0.3333 0.6667 0.1667  6 Y 2.95
Cl: 0.6667 0.3333 0.8333  6 Y 2.95

Output
ΔE_f (raw) ... -3.1 eV/f.u.
E ... -64.78 eV/cell
Spin magnetization ... 0.0 μB/cell
Excess energy over the best structure of this formula in the dataset ... 187.5 meV/atom



Density functional theory data (PBE-GGA) for an optimized crystal structure of YPbCl2.

Cell lengths 4.6392, 4.6392, 4.6818 Å; angles 90.00, 90.00, 90.00 degrees
With the nearest neighbours (Å) after each atom.
Fractional positions:
Y: 0.0000 0.0000 0.0000  4 Pb 3.28, 8 Cl 3.30
Pb: 0.5000 0.5000 0.0000  4 Y 3.28, 8 Cl 3.30
Cl: 0.0000 0.5000 0.5000  4 Cl 3.28, 4 Pb 3.30, 4 Y 3.30
Cl: 0.5000 0.0000 0.5000  4 Cl 3.28, 4 Pb 3.30, 4 Y 3.30

Output
ΔE_f (raw) ... -3.4 eV/f.u.
E ... -17.29 eV/cell
Spin magnetization ... 0.0 μB/cell
Excess energy over the best structure of this formula in the dataset ... 428.1 meV/atom



Density functional theory data (PBE-GGA) for an optimized crystal structure of YPb2Cl.

Cell lengths 3.6762, 3.6762, 8.5834 Å; angles 90.00, 90.00, 90.00 degrees
With the nearest neighbours (Å) after each atom.
Fractional positions:
Y: 0.0000 0.0000 0.0000  8 Pb 3.36, 4 Y 3.68
Pb: 0.5000 0.5000 0.2477  4 Y 3.36, 4 Cl 3.38, 4 Pb 3.68
Pb: 0.5000 0.5000 0.7523  4 Y 3.36, 4 Cl 3.38, 4 Pb 3.68
Cl: 0.0000 0.0000 0.5000  8 Pb 3.38, 4 Cl 3.68

Output
ΔE_f (raw) ... -1.2 eV/f.u.
E ... -16.92 eV/cell
Spin magnetization ... 0.2 μB/cell
Excess energy over the best structure of this formula in the dataset ... 396.1 meV/atom



Density functional theory data (PBE-GGA) for an optimized crystal structure of Y4PbCl.

Cell lengths 6.4186, 6.4186, 6.4186 Å; angles 60.00, 60.00, 60.00 degrees
With the nearest neighbours (Å) after each atom.
Fractional positions:
Y: 0.3768 0.3768 0.3768  6 Y 3.16-3.26
Y: 0.3768 0.3768 0.8695  6 Y 3.16-3.26
Y: 0.3768 0.8695 0.3768  6 Y 3.16-3.26
Y: 0.8695 0.3768 0.3768  6 Y 3.16-3.26
Pb: 0.7500 0.7500 0.7500  12 Y 3.76, 4 Cl 3.93
Cl: 0.0000 0.0000 0.0000  12 Y 3.77, 4 Pb 3.93

Output
ΔE_f (raw) ... 0.6 eV/f.u.
E ... -30.81 eV/cell
Spin magnetization ... 0.0 μB/cell



Density functional theory data (PBE-GGA) for an optimized crystal structure of YPb2Cl.

Cell lengths 3.5264, 5.8138, 11.1927 Å; angles 90.00, 90.00, 90.00 degrees
With the nearest neighbours (Å) after each atom.
Fractional positions:
Y: 0.0000 0.0000 0.0000  2 Cl 2.71
Y: 0.5000 0.5000 0.5000  2 Cl 2.71
Pb: 0.0000 0.0000 0.5271  4 Y 3.41, 4 Pb 3.49-3.53, 4 Cl 3.69-3.74
Pb: 0.0000 0.5000 0.7585  2 Y 3.39, 4 Cl 3.46, 4 Pb 3.49-3.53
Pb: 0.5000 0.0000 0.2585  2 Y 3.39, 4 Cl 3.46, 4 Pb 3.49-3.53
Pb: 0.5000 0.5000 0.0271  4 Y 3.41, 4 Pb 3.49-3.53, 4 Cl 3.69-3.74
Cl: 0.0000 0.5000 0.3162  2 Y 2.71
Cl: 0.5000 0.0000 0.8162  2 Y 2.71

Output
ΔE_f (raw) ... -2.5 eV/f.u.
E ... -36.36 eV/cell
Spin magnetization ... 0.0 μB/cell
Excess energy over the best structure of this formula in the dataset ... 80.9 meV/atom



Density functional theory data (PBE-GGA) for an optimized crystal structure of Y2PbCl.

Cell lengths 7.6902, 7.6902, 7.6902 Å; angles 90.00, 90.00, 90.00 degrees
With the nearest neighbours (Å) after each atom.
Fractional positions:
Y: 0.0000 0.0000 0.0000  4 Pb 3.33, 4 Y 3.33
Y: 0.0000 0.5000 0.5000  4 Pb 3.33, 4 Y 3.33
Y: 0.2500 0.2500 0.2500  4 Cl 3.33, 4 Y 3.33
Y: 0.2500 0.7500 0.7500  4 Cl 3.33, 4 Y 3.33
Y: 0.5000 0.0000 0.5000  4 Pb 3.33, 4 Y 3.33
Y: 0.5000 0.5000 0.0000  4 Pb 3.33, 4 Y 3.33
Y: 0.7500 0.2500 0.7500  4 Cl 3.33, 4 Y 3.33
Y: 0.7500 0.7500 0.2500  4 Cl 3.33, 4 Y 3.33
Pb: 0.2500 0.2500 0.7500  4 Cl 3.33, 4 Y 3.33
Pb: 0.2500 0.7500 0.2500  4 Cl 3.33, 4 Y 3.33
Pb: 0.7500 0.2500 0.2500  4 Cl 3.33, 4 Y 3.33
Pb: 0.7500 0.7500 0.7500  4 Cl 3.33, 4 Y 3.33
Cl: 0.0000 0.0000 0.5000  4 Pb 3.33, 4 Y 3.33
Cl: 0.0000 0.5000 0.0000  4 Pb 3.33, 4 Y 3.33
Cl: 0.5000 0.0000 0.0000  4 Pb 3.33, 4 Y 3.33
Cl: 0.5000 0.5000 0.5000  4 Pb 3.33, 4 Y 3.33

Output
ΔE_f (raw) ... -0.3 eV/f.u.
E ... -75.27 eV/cell
Spin magnetization ... 4.3 μB/cell
Excess energy over the best structure of this formula in the dataset ... 881.3 meV/atom



Density functional theory data (PBE-GGA) for an optimized crystal structure of YPbCl2.

Cell lengths 3.5800, 3.5800, 33.0345 Å; angles 90.00, 90.00, 120.00 degrees
With the nearest neighbours (Å) after each atom.
Fractional positions:
Y: 0.0000 0.0000 0.0000  6 Cl 2.72
Y: 0.3333 0.6667 0.6667  6 Cl 2.72
Y: 0.6667 0.3333 0.3333  6 Cl 2.72
Pb: 0.0000 0.0000 0.5000  6 Pb 3.58
Pb: 0.3333 0.6667 0.1667  6 Pb 3.58
Pb: 0.6667 0.3333 0.8333  6 Pb 3.58
Cl: 0.0000 0.0000 0.2798  3 Y 2.72
Cl: 0.0000 0.0000 0.7202  3 Y 2.72
Cl: 0.3333 0.6667 0.3869  3 Y 2.72
Cl: 0.3333 0.6667 0.9465  3 Y 2.72
Cl: 0.6667 0.3333 0.0535  3 Y 2.72
Cl: 0.6667 0.3333 0.6131  3 Y 2.72

Output
ΔE_f (raw) ... -5.1 eV/f.u.
E ... -56.99 eV/cell
Spin magnetization ... 0.9 μB/cell
Excess energy over the best structure of this formula in the dataset ... 0.0 meV/atom